{"formula": "TbY2PaAs4", "functional": "PBE", "state": "relaxed", "cell": [[4.123, 0.000, 0.000], [0.000, 7.123, 0.123], [0.000, -2.489, 6.668]], "species": ["Y", "Y", "Tb", "As", "As", "As", "As", "Pa"], "fractional_positions": [[0.500, 0.000, 0.500], [0.000, 0.500, 0.500], [0.000, 0.000, 0.000], [0.500, 0.253, 0.248], [0.000, 0.253, 0.752], [0.000, 0.747, 0.248], [0.500, 0.747, 0.752], [0.500, 0.500, 0.000]]}

---

{"formula": "PaTc2As", "functional": "PBE", "state": "relaxed", "cell": [[4.633, 0.000, 0.000], [2.317, 4.013, 0.000], [2.317, 1.338, 3.783]], "species": ["Tc", "Tc", "Pa", "As"], "fractional_positions": [[0.250, 0.250, 0.250], [0.750, 0.750, 0.750], [0.000, 0.000, 0.000], [0.500, 0.500, 0.500]], "e_above_lowest_polymorph_ev_per_atom": 0.133}

---

{"formula": "PaTc2As2", "functional": "PBE", "state": "relaxed", "cell": [[-1.903, 3.088, 2.600], [-3.798, -0.628, -2.033], [-2.153, -6.566, 6.224]], "species": ["Pa", "Pa", "As", "As", "As", "As", "Tc", "Tc", "Tc", "Tc"], "fractional_positions": [[0.750, 0.238, 0.729], [0.250, 0.762, 0.271], [0.750, 0.246, 0.359], [0.750, 0.667, 0.972], [0.250, 0.333, 0.028], [0.250, 0.754, 0.641], [0.750, 0.748, 0.502], [0.250, 0.252, 0.498], [0.250, 0.852, 0.904], [0.750, 0.148, 0.096]], "e_above_lowest_polymorph_ev_per_atom": 0.132}

---

{"formula": "PaTc2As", "functional": "PBE", "state": "relaxed", "cell": [[3.660, 0.000, 0.000], [0.000, 4.338, 0.000], [0.000, 0.000, 4.338]], "species": ["Pa", "As", "Tc", "Tc"], "fractional_positions": [[0.500, 0.500, 0.500], [0.500, 0.000, 0.000], [0.000, 0.500, 0.000], [0.000, 0.000, 0.500]], "e_above_lowest_polymorph_ev_per_atom": 0.000}

---

no.,energy relative to the elements (eV per atom)
1,-1.430
2,-0.186
3,-0.492
4,-0.319